The following is a DFT calculation (PBE) of a geometry-optimized Sm2HfSe5 structure.

Computed properties:
E = -50.2 eV/f.u.
Relative energy among the computed polymorphs = 0.0 meV per atom
Symmetry = Pnma, No. 62
Uncorrected formation energy = -1.67 eV per atom

Structure (POSCAR):
```
Sm2HfSe5
1.0
7.702 0.000 0.000
0.000 8.228 0.000
0.000 0.000 12.193
Sm Se Hf
8 20 4
Cartesian
0.216 4.084 3.922 Sm
0.216 0.030 3.922 Sm
7.486 8.198 8.272 Sm
4.067 8.198 2.175 Sm
3.635 4.084 10.018 Sm
3.635 0.030 10.018 Sm
7.486 4.143 8.272 Sm
4.067 4.143 2.175 Sm
0.423 2.057 6.153 Se
5.106 3.809 5.006 Se
6.448 0.305 11.102 Se
1.254 7.923 1.091 Se
6.286 6.171 2.516 Se
1.254 4.419 1.091 Se
7.279 6.171 6.040 Se
2.597 4.419 7.187 Se
1.260 6.171 9.992 Se
2.591 6.171 3.896 Se
5.106 0.305 5.006 Se
6.442 2.057 2.201 Se
1.417 2.057 9.677 Se
2.434 2.057 3.580 Se
3.428 2.057 0.057 Se
5.111 2.057 8.297 Se
5.268 6.171 8.613 Se
4.274 6.171 12.137 Se
6.448 3.809 11.102 Se
2.597 7.923 7.187 Se
3.259 2.057 6.175 Hf
4.443 6.171 6.018 Hf
0.592 2.057 0.078 Hf
7.110 6.171 12.115 Hf
```


The following is a DFT calculation (PBE) of a geometry-optimized AcCePr2Tl4 structure.

Computed properties:
E = -31.6 eV/f.u.
Symmetry = R-3m, No. 166

Structure (POSCAR):
```
AcCePr2Tl4
1.0
5.635 0.000 0.000
2.818 4.880 0.000
2.818 1.627 9.196
Tl Ac Ce Pr
4 1 1 2
Cartesian
5.635 3.253 7.961 Tl
2.818 1.627 5.680 Tl
5.635 3.253 1.235 Tl
8.453 4.880 3.516 Tl
0.000 0.000 0.000 Ac
5.635 3.253 4.598 Ce
8.453 4.880 6.894 Pr
2.818 1.627 2.302 Pr
```


The following is a DFT calculation (PBE) of a geometry-optimized Nd4Ga12Au structure.

Computed properties:
E = -68.3 eV/f.u.
Symmetry = Im-3m, No. 229

Structure (POSCAR):
```
Nd4Ga12Au
1.0
-6.917 -2.209 -2.455
4.619 -6.100 0.454
-0.657 3.228 6.921
Ga Nd Au
12 4 1
Cartesian
-2.306 0.310 1.360 Ga
-0.700 -2.531 -0.610 Ga
2.755 -1.997 5.129 Ga
1.207 -0.875 2.246 Ga
0.088 -1.181 4.804 Ga
-1.598 -5.779 -1.392 Ga
-4.361 -1.568 1.732 Ga
-3.042 -3.900 0.116 Ga
-5.267 0.709 3.105 Ga
-0.159 -4.873 0.843 Ga
-2.796 -0.209 4.076 Ga
1.406 -3.513 3.187 Ga
-3.458 -1.105 -1.228 Nd
-1.477 -2.541 2.460 Nd
2.309 -3.050 0.227 Nd
-0.328 1.614 3.460 Nd
0.000 0.000 0.000 Au
```


The following is a DFT calculation (PBE) of a geometry-optimized Sb4Pb3Au4 structure.

Computed properties:
E = -40.3 eV/f.u.
Symmetry = Amm2, No. 38
Uncorrected formation energy = 0.03 eV per atom

Structure (POSCAR):
```
Sb4Pb3Au4
1.0
4.818 0.000 0.000
-2.409 5.853 0.000
0.000 0.000 10.171
Sb Pb Au
4 3 4
Cartesian
2.409 0.619 0.000 Sb
2.409 2.682 5.086 Sb
0.000 0.928 2.519 Sb
0.000 0.928 7.653 Sb
0.000 4.362 6.801 Pb
0.000 4.362 3.370 Pb
0.000 3.176 0.000 Pb
2.409 4.968 0.000 Au
2.409 2.530 2.169 Au
2.409 2.530 8.002 Au
2.409 5.677 5.086 Au
```


The following is a DFT calculation (PBE) of a geometry-optimized Ac2Tl5Au structure.

Computed properties:
E = -25.9 eV/f.u.
Symmetry = Pbam, No. 55

Structure (POSCAR):
```
Ac2Tl5Au
1.0
-1.148 -3.378 -3.437
3.020 -4.976 3.882
-12.249 -2.401 6.451
Tl Au Ac
10 2 4
Cartesian
-4.247 -3.971 1.751 Tl
-4.615 -3.688 5.167 Tl
0.178 -5.888 2.157 Tl
-6.227 -6.599 8.565 Tl
-6.131 -6.784 5.145 Tl
-7.823 -4.128 6.670 Tl
-1.406 -3.249 3.663 Tl
0.000 0.000 0.000 Tl
-3.003 -0.778 1.768 Tl
-10.556 -4.868 4.739 Tl
1.510 -2.488 1.941 Au
-6.125 -1.200 3.225 Au
-7.466 -4.238 3.088 Ac
-9.247 -7.371 6.762 Ac
-1.131 -3.384 0.134 Ac
-2.912 -6.517 3.808 Ac
```


The following is a DFT calculation (PBE) of a geometry-optimized YAl2ZnPb structure.

Computed properties:
E = -14.0 eV/f.u.
Symmetry = P4/mmm, No. 123

Structure (POSCAR):
```
YAl2ZnPb
1.0
5.722 0.000 0.000
0.000 5.919 0.000
0.000 0.000 5.722
Pb Al Y Zn
1 2 1 1
Cartesian
0.000 2.960 0.000 Pb
2.861 0.000 0.000 Al
0.000 0.000 2.861 Al
0.000 0.000 0.000 Y
2.861 2.960 2.861 Zn
```


The following is a DFT calculation (PBE) of a geometry-optimized IrSe2Cl structure.

Computed properties:
E = -18.1 eV/f.u.
Relative energy among the computed polymorphs = 159.8 meV per atom
Symmetry = Pm, No. 6
Uncorrected formation energy = -0.10 eV per atom

Structure (POSCAR):
```
IrSe2Cl
1.0
3.687 0.000 0.000
0.000 4.734 -0.092
0.000 -1.441 6.529
Ir Se Cl
1 2 1
Cartesian
1.844 2.163 5.467 Ir
1.844 -0.094 6.334 Se
0.000 4.141 0.450 Se
0.000 2.024 3.842 Cl
```


The following is a DFT calculation (PBE) of a geometry-optimized La2NdMnN4 structure.

Computed properties:
E = -64.7 eV/f.u.
Symmetry = Cmcm, No. 63
Uncorrected formation energy = -0.96 eV per atom

Structure (POSCAR):
```
La2NdMnN4
1.0
-3.162 -1.558 0.254
3.610 -3.851 -3.277
3.585 -5.566 10.491
N La Mn Nd
8 4 2 2
Cartesian
-0.347 -2.941 2.226 N
0.000 0.000 0.000 N
2.407 -7.629 7.750 N
4.380 -8.034 5.243 N
1.627 -3.346 -0.282 N
2.417 -4.574 2.033 N
1.616 -6.401 5.435 N
1.792 -2.783 5.246 N
3.446 -6.439 3.399 La
4.917 -8.723 7.704 La
-0.884 -2.252 -0.235 La
0.587 -4.536 4.070 La
1.585 -2.964 1.553 Mn
2.448 -8.011 5.915 Mn
0.921 -5.833 0.259 Nd
3.113 -5.142 7.210 Nd
```